No. 1
VASP calculation (PBE) on a relaxed structure of YBe2H2.

a = 6.9129 Å, b = 6.9129 Å, c = 2.5731 Å
α = 90.00°, β = 90.00°, γ = 90.00°
Last column: nearest neighbours and their distance in Å.
Sites, in units of the cell vectors:
H: 0.9055 0.4055 0.5000  1 H 1.85, 4 Be 1.88
H: 0.4055 0.0945 0.5000  1 H 1.85, 4 Be 1.88
Be: 0.8969 0.6031 0.0000  4 H 1.88, 1 Be 2.02
Y: 0.0000 0.0000 0.0000  2 Y 2.57, 4 Be 2.83
Be: 0.1031 0.3969 0.0000  4 H 1.88, 1 Be 2.02
Be: 0.6031 0.1031 0.0000  4 H 1.88, 1 Be 2.02
Be: 0.3969 0.8969 0.0000  4 H 1.88, 1 Be 2.02
H: 0.0945 0.5945 0.5000  1 H 1.85, 4 Be 1.88
H: 0.5945 0.9055 0.5000  1 H 1.85, 4 Be 1.88
Y: 0.5000 0.5000 0.0000  2 Y 2.57, 4 Be 2.83

Electronic total energy   -3.198 eV/atom
Energy above the lowest structure with this stoichiometry   571 meV per atom



No. 2
VASP calculation (PBE) on a relaxed structure of BeHg3W.

a = 4.6591 Å, b = 4.6591 Å, c = 4.6591 Å
α = 90.00°, β = 90.00°, γ = 90.00°
Last column: nearest neighbours and their distance in Å.
Sites, in units of the cell vectors:
W: 0.5000 0.5000 0.5000  12 Hg 3.29
Hg: 0.0000 0.5000 0.0000  2 Be 2.33
Hg: 0.0000 0.0000 0.5000  2 Be 2.33
Hg: 0.5000 0.0000 0.0000  2 Be 2.33
Be: 0.0000 0.0000 0.0000  6 Hg 2.33

E_form   122 kJ per mole of atoms
Electronic total energy   -2.255 eV/atom
Energy above the lowest structure with this stoichiometry   0 meV per atom



No. 3
VASP calculation (PBE) on a relaxed structure of NaY3I.

a = 5.7367 Å, b = 5.7367 Å, c = 5.7367 Å
α = 90.00°, β = 90.00°, γ = 90.00°
Last column: nearest neighbours and their distance in Å.
Sites, in units of the cell vectors:
Y: 0.5000 0.0000 0.0000  2 I 2.87
Y: 0.0000 0.0000 0.5000  2 I 2.87
I: 0.0000 0.0000 0.0000  6 Y 2.87
Na: 0.5000 0.5000 0.5000  12 Y 4.06
Y: 0.0000 0.5000 0.0000  2 I 2.87

Formation energy (no corrections)   129 kJ/mol of formula units
Electronic total energy   -4.185 eV/atom
Energy above the lowest structure with this stoichiometry   0 meV per atom



No. 4
VASP calculation (PBE) on a relaxed structure of CoAuSe2.

a = 7.1479 Å, b = 7.1479 Å, c = 7.1479 Å
α = 29.84°, β = 29.84°, γ = 29.84°
Last column: nearest neighbours and their distance in Å.
Sites, in units of the cell vectors:
Se: 0.2271 0.2271 0.2271  3 Au 2.58
Au: 0.4893 0.4893 0.4893  3 Se 2.58, 3 Co 2.64
Co: 0.7457 0.7457 0.7457  3 Se 2.29
Se: 0.0379 0.0379 0.0379  3 Co 2.29

Formation energy (no corrections)   13 kJ/mol of formula units
Electronic total energy   -4.305 eV/atom



No. 5
VASP calculation (PBE) on a relaxed structure of CsAsSCl2.

a = 6.5196 Å, b = 6.5196 Å, c = 6.1102 Å
α = 90.00°, β = 90.00°, γ = 90.00°
Last column: nearest neighbours and their distance in Å.
Sites, in units of the cell vectors:
Cl: 0.0000 0.5000 0.0000  2 Cs 3.26
Cs: 0.0000 0.0000 0.0000  2 S 3.06, 4 Cl 3.26
S: 0.0000 0.0000 0.5000  2 Cs 3.06
Cl: 0.5000 0.0000 0.0000  2 Cs 3.26
As: 0.5000 0.5000 0.5000  8 Cl 4.47, 4 S 4.61

Formation energy (no corrections)   410 kJ/mol of formula units
Electronic total energy   -1.815 eV/atom
Energy above the lowest structure with this stoichiometry   1678 meV per atom



No. 6
VASP calculation (PBE) on a relaxed structure of TlSeIN2.

a = 4.3251 Å, b = 4.3251 Å, c = 7.3061 Å
α = 90.00°, β = 90.00°, γ = 90.00°
Last column: nearest neighbours and their distance in Å.
Sites, in units of the cell vectors:
Tl: 0.0000 0.0000 0.0000  4 N 2.16
N: 0.0000 0.5000 0.0000  2 Tl 2.16
N: 0.5000 0.0000 0.0000  2 Tl 2.16
Se: 0.5000 0.5000 0.5000  4 I 3.06
I: 0.0000 0.0000 0.5000  4 Se 3.06

Formation energy (no corrections)   871 kJ/mol of formula units
Electronic total energy   -3.004 eV/atom
Energy above the lowest structure with this stoichiometry   308 meV per atom



No. 7
VASP calculation (PBE) on a relaxed structure of NaCeSeO2.

a = 3.8898 Å, b = 3.8898 Å, c = 7.1336 Å
α = 105.82°, β = 105.82°, γ = 90.00°
Last column: nearest neighbours and their distance in Å.
Sites, in units of the cell vectors:
Se: 0.5086 0.5086 0.0172  4 Ce 3.48, 4 Na 3.51, 4 O 3.60, 4 Se 3.89
Ce: 0.1703 0.1703 0.3405  4 O 2.14
O: 0.2389 0.7389 0.4779  2 Ce 2.14, 2 Na 2.38
O: 0.7389 0.2389 0.4779  2 Ce 2.14, 2 Na 2.38
Na: 0.8432 0.8432 0.6865  4 O 2.38

Formation energy (no corrections)   -985 kJ/mol of formula units
Electronic total energy   -6.172 eV/atom



No. 8
VASP calculation (PBE) on a relaxed structure of Nd4Bi2B.

a = 5.1221 Å, b = 5.1221 Å, c = 9.0993 Å
α = 106.35°, β = 106.35°, γ = 90.00°
Last column: nearest neighbours and their distance in Å.
Sites, in units of the cell vectors:
Nd: 0.1611 0.1611 0.3223  1 B 2.69
Bi: 0.3598 0.3598 0.7196  9 Nd 3.32-3.64
Nd: 0.5000 0.0000 0.0000  2 B 2.56
Bi: 0.6402 0.6402 0.2804  9 Nd 3.32-3.64
B: 0.0000 0.0000 0.0000  6 Nd 2.56-2.69
Nd: 0.0000 0.5000 0.0000  2 B 2.56
Nd: 0.8389 0.8389 0.6777  1 B 2.69

E_form   -52 kJ per mole of atoms
Electronic total energy   -5.327 eV/atom